[1]
DFT (PBE) results for crystalline MgTc2Hg at its relaxed geometry.

```
MgTc2Hg
1.0
-1.634 2.156 4.721
1.634 -2.156 4.721
1.634 2.156 -4.721
Mg Tc Hg
1 2 1
Direct
0.000 0.000 0.000 Mg
0.250 0.750 0.500 Tc
0.750 0.250 0.500 Tc
0.500 0.500 0.000 Hg
```

Calculated values
* ρ: 10.51 Mg/m³

[2]
DFT (PBE) results for crystalline MgTcHg at its relaxed geometry.

```
MgTcHg
1.0
2.974 0.000 0.000
-1.487 2.576 0.000
0.000 0.000 7.115
Mg Tc Hg
1 1 1
Direct
0.000 0.000 0.000 Mg
0.667 0.333 0.311 Tc
0.333 0.667 0.649 Hg
```

Calculated values
* ρ: 9.84 Mg/m³

[3]
DFT (PBE) results for crystalline MgTc2Hg at its relaxed geometry.

```
MgTc2Hg
1.0
0.000 3.214 3.214
3.214 0.000 3.214
3.214 3.214 0.000
Mg Tc Hg
1 2 1
Direct
0.000 0.000 0.000 Mg
0.250 0.250 0.250 Tc
0.750 0.750 0.750 Tc
0.500 0.500 0.500 Hg
```

Calculated values
* ρ: 10.52 Mg/m³

[4]
DFT (PBE) results for crystalline MgTc2Hg at its relaxed geometry.

```
MgTc2Hg
1.0
1.624 -2.220 0.000
1.624 2.220 0.000
0.000 0.000 9.354
Mg Tc Hg
1 2 1
Direct
0.000 0.000 0.000 Mg
0.500 0.500 0.242 Tc
0.500 0.500 0.758 Tc
0.000 0.000 0.500 Hg
```

Calculated values
* ρ: 10.36 Mg/m³

[5]
DFT (PBE) results for crystalline MgTc2Hg at its relaxed geometry.

```
MgTc2Hg
1.0
3.479 0.000 0.000
0.000 3.479 0.000
0.000 0.000 5.654
Mg Tc Hg
1 2 1
Direct
0.000 0.000 0.000 Mg
0.500 0.500 0.209 Tc
0.500 0.500 0.791 Tc
0.000 0.000 0.500 Hg
```

Calculated values
* ρ: 10.21 Mg/m³

[6]
DFT (PBE) results for crystalline MgTc2Hg at its relaxed geometry.

```
MgTc2Hg
1.0
2.855 0.000 0.000
0.000 4.408 0.000
0.000 0.000 5.469
Mg Tc Hg
1 2 1
Direct
0.000 0.000 0.000 Mg
0.500 0.500 0.211 Tc
0.500 0.500 0.789 Tc
0.000 0.000 0.500 Hg
```

Calculated values
* ρ: 10.15 Mg/m³

[7]
DFT (PBE) results for crystalline MgTc2Hg at its relaxed geometry.

```
MgTc2Hg
1.0
1.530 -2.389 0.000
1.530 2.389 0.000
0.000 0.000 9.477
Mg Tc Hg
1 2 1
Direct
0.000 0.000 0.000 Mg
0.000 0.000 0.543 Tc
0.500 0.500 0.757 Tc
0.500 0.500 0.272 Hg
```

Calculated values
* ρ: 10.09 Mg/m³

[8]
DFT (PBE) results for crystalline MgTc4Hg at its relaxed geometry.

```
MgTc4Hg
1.0
0.000 3.695 3.695
3.695 0.000 3.695
3.695 3.695 0.000
Mg Tc Hg
1 4 1
Direct
0.000 0.000 0.000 Mg
0.126 0.625 0.625 Tc
0.625 0.126 0.625 Tc
0.625 0.625 0.126 Tc
0.625 0.625 0.625 Tc
0.250 0.250 0.250 Hg
```

Calculated values
* ρ: 10.16 Mg/m³

Result set for E: -5.26, -3.71, -4.95, -5.13, -5.12, -5.22, -5.33, -6.83 eV per atom, one per record in the order listed.